Entry 1:
Entry from Alexandria: an optimized crystal structure of LaFeSiGe2 (PBEsol).

Properties
The total energy is -4.256 eV per atom. As for the space group: P4/mmm, No. 123. The raw formation energy is 8.7 eV per formula unit. The total magnetization comes out at 3.64 μB/f.u. As for the crystal system: tetragonal.

Lattice parameters (Å, degrees): 5.339 5.440 5.440 90.00 90.00 90.00
Site moments in Bohr magnetons follow the coordinates.
Positions (direct):
Si 0.500 0.000 0.000  0.01
La 0.000 0.000 0.000  0.06
Ge 0.000 0.000 0.500  0.00
Fe 0.500 0.500 0.500  3.39
Ge 0.000 0.500 0.000  0.00

Entry 2:
Entry from Alexandria: an optimized crystal structure of LiFe2Ge2 (PBEsol).

Properties
The total energy is -6.071 eV per atom. As for the space group: I4/mmm, No. 139. The total magnetization comes out at 3.40 μB/f.u. Its formation enthalpy at 0 K is -0.6 eV per formula unit. As for the crystal system: tetragonal.

Lattice parameters (Å, degrees): 3.608 3.608 6.074 107.28 107.28 90.00
Site moments in Bohr magnetons follow the coordinates.
Positions (direct):
Fe 0.750 0.250 0.500  1.82
Li 0.000 0.000 0.000  0.00
Ge 0.611 0.611 0.222  -0.09
Ge 0.389 0.389 0.778  -0.09
Fe 0.250 0.750 0.500  1.82

Entry 3:
Entry from Alexandria: an optimized crystal structure of LiFe6Ge4 (PBEsol).

Properties
The total energy is -7.074 eV per atom. As for the space group: R-3m, No. 166. The total magnetization comes out at 9.30 μB/f.u. Its formation enthalpy at 0 K is -2.3 eV per formula unit. As for the crystal system: trigonal.

Lattice parameters (Å, degrees): 4.944 4.944 6.963 69.21 69.21 60.00
Site moments in Bohr magnetons follow the coordinates.
Positions (direct):
Ge 0.873 0.873 0.381  -0.09
Fe 0.400 0.886 0.314  1.63
Li 0.000 0.000 0.000  -0.01
Ge 0.332 0.332 0.005  -0.08
Fe 0.886 0.400 0.314  1.63
Fe 0.400 0.400 0.314  1.63
Fe 0.600 0.600 0.686  1.63
Fe 0.600 0.114 0.686  1.63
Fe 0.114 0.600 0.686  1.63
Ge 0.127 0.127 0.619  -0.09
Ge 0.668 0.668 0.995  -0.08

Entry 4:
Entry from Alexandria: an optimized crystal structure of LuFe6Ge6 (PBEsol).

Properties
The total energy is -7.139 eV per atom. As for the space group: P6/mmm, No. 191. The total magnetization comes out at 7.38 μB/f.u. Its formation enthalpy at 0 K is -4.5 eV per formula unit. As for the crystal system: hexagonal.

Lattice parameters (Å, degrees): 4.968 4.968 7.949 90.00 90.00 120.00
Site moments in Bohr magnetons follow the coordinates.
Positions (direct):
Ge 0.667 0.333 0.000  -0.05
Fe 0.500 0.000 0.250  1.32
Fe 0.000 0.500 0.250  1.32
Fe 0.500 0.000 0.750  1.32
Fe 0.000 0.500 0.750  1.32
Ge 0.333 0.667 0.500  -0.06
Ge 0.667 0.333 0.500  -0.06
Ge 0.000 0.000 0.656  -0.05
Ge 0.333 0.667 0.000  -0.05
Lu 0.000 0.000 0.000  -0.11
Fe 0.500 0.500 0.750  1.32
Fe 0.500 0.500 0.250  1.32
Ge 0.000 0.000 0.344  -0.05

Entry 5:
Entry from Alexandria: an optimized crystal structure of MgFe6Ge6 (PBEsol).

Properties
The total energy is -6.763 eV per atom. As for the space group: P6/mmm, No. 191. The total magnetization comes out at 7.36 μB/f.u. Its formation enthalpy at 0 K is -2.8 eV per formula unit. As for the crystal system: hexagonal.

Lattice parameters (Å, degrees): 4.961 4.961 7.881 90.00 90.00 120.00
Site moments in Bohr magnetons follow the coordinates.
Positions (direct):
Ge 0.667 0.333 0.500  -0.06
Ge 0.000 0.000 0.660  -0.07
Ge 0.333 0.667 0.500  -0.06
Mg 0.000 0.000 0.000  -0.01
Ge 0.000 0.000 0.340  -0.07
Fe 0.000 0.500 0.750  1.32
Ge 0.333 0.667 0.000  -0.06
Fe 0.500 0.000 0.250  1.32
Ge 0.667 0.333 0.000  -0.06
Fe 0.500 0.500 0.250  1.32
Fe 0.500 0.000 0.750  1.32
Fe 0.000 0.500 0.250  1.32
Fe 0.500 0.500 0.750  1.32

Entry 6:
Entry from Alexandria: an optimized crystal structure of MgTaFe2Ge (PBEsol).

Properties
The total energy is -5.931 eV per atom. As for the space group: P4/mmm, No. 123. The total magnetization comes out at 2.66 μB/f.u. Its formation enthalpy at 0 K is 7.5 eV per formula unit. As for the crystal system: tetragonal.

Lattice parameters (Å, degrees): 4.419 4.419 5.263 90.00 90.00 90.00
Site moments in Bohr magnetons follow the coordinates.
Positions (direct):
Fe 0.500 0.000 0.000  1.62
Mg 0.000 0.000 0.500  -0.01
Fe 0.000 0.500 0.000  1.62
Ge 0.500 0.500 0.500  -0.05
Ta 0.000 0.000 0.000  -0.43

Entry 7:
Entry from Alexandria: an optimized crystal structure of Mn2FeGe5 (PBEsol).

Properties
The total energy is -6.817 eV per atom. As for the space group: P-4n2, No. 118. The total magnetization comes out at 0.00 μB/f.u. Its formation enthalpy at 0 K is -1.4 eV per formula unit. As for the crystal system: tetragonal.

Lattice parameters (Å, degrees): 5.594 5.594 13.490 90.00 90.00 90.00
Positions (direct):
Ge 0.840 0.804 0.152
Ge 0.676 0.176 0.250
Ge 0.229 0.655 0.053
Ge 0.160 0.196 0.152
Fe 0.000 0.500 0.586
Ge 0.845 0.271 0.447
Ge 0.304 0.340 0.348
Fe 0.000 0.500 0.914
Ge 0.271 0.155 0.553
Ge 0.696 0.660 0.348
Ge 0.345 0.229 0.947
Mn 0.000 0.000 0.673
Ge 0.660 0.304 0.652
Mn 0.500 0.000 0.750
Ge 0.655 0.771 0.947
Fe 0.500 0.000 0.414
Mn 0.000 0.500 0.250
Ge 0.155 0.729 0.447
Ge 0.729 0.845 0.553
Ge 0.771 0.345 0.053
Ge 0.196 0.840 0.848
Ge 0.824 0.676 0.750
Ge 0.804 0.160 0.848
Mn 0.000 0.000 0.327
Mn 0.500 0.500 0.173
Fe 0.500 0.000 0.086
Mn 0.500 0.500 0.827
Mn 0.500 0.500 0.500
Ge 0.340 0.696 0.652
Mn 0.000 0.000 0.000
Ge 0.176 0.324 0.750
Ge 0.324 0.824 0.250

Entry 8:
Entry from Alexandria: an optimized crystal structure of Mn4FeGe3 (PBEsol).

Properties
The total energy is -7.939 eV per atom. As for the space group: P-31m, No. 162. The total magnetization comes out at 12.26 μB/f.u. Its formation enthalpy at 0 K is -0.7 eV per formula unit. As for the crystal system: trigonal.

Lattice parameters (Å, degrees): 4.819 6.995 6.995 120.00 90.00 90.00
Site moments in Bohr magnetons follow the coordinates.
Positions (direct):
Mn 0.245 0.241 0.241  2.91
Mn 0.755 0.000 0.241  2.91
Ge 0.254 0.605 0.605  -0.13
Ge 0.254 0.000 0.395  -0.13
Mn 0.000 0.333 0.667  2.13
Ge 0.746 0.000 0.605  -0.13
Ge 0.254 0.395 0.000  -0.13
Fe 0.500 0.667 0.333  1.67
Mn 0.755 0.759 0.759  2.91
Ge 0.746 0.395 0.395  -0.13
Mn 0.000 0.667 0.333  2.13
Mn 0.245 0.000 0.759  2.91
Mn 0.755 0.241 0.000  2.91
Fe 0.500 0.333 0.667  1.67
Mn 0.245 0.759 0.000  2.91
Ge 0.746 0.605 0.000  -0.13

Entry 9:
Entry from Alexandria: an optimized crystal structure of FeGeMoOs2 (PBEsol).

Properties
The total energy is -8.518 eV per atom. As for the space group: P4/mmm, No. 123. The total magnetization comes out at 1.31 μB/f.u. Its formation enthalpy at 0 K is 7.5 eV per formula unit. As for the crystal system: tetragonal.

Lattice parameters (Å, degrees): 4.238 4.356 4.356 90.00 90.00 90.00
Site moments in Bohr magnetons follow the coordinates.
Positions (direct):
Os 0.000 0.500 0.000  0.02
Os 0.000 0.000 0.500  0.02
Ge 0.500 0.000 0.000  -0.01
Mo 0.500 0.500 0.500  1.16
Fe 0.000 0.000 0.000  0.02

Entry 10:
Entry from Alexandria: an optimized crystal structure of FeGe2MoW (PBEsol).

Properties
The total energy is -7.278 eV per atom. As for the space group: P4/mmm, No. 123. The total magnetization comes out at 2.21 μB/f.u. Its formation enthalpy at 0 K is 8.0 eV per formula unit. As for the crystal system: tetragonal.

Lattice parameters (Å, degrees): 4.760 4.760 4.767 90.00 90.00 90.00
Site moments in Bohr magnetons follow the coordinates.
Positions (direct):
W 0.000 0.000 0.000  0.15
Mo 0.000 0.000 0.500  -1.14
Fe 0.500 0.500 0.500  3.27
Ge 0.500 0.000 0.000  -0.01
Ge 0.000 0.500 0.000  -0.01

Entry 11:
Entry from Alexandria: an optimized crystal structure of Fe6Ge2N (PBEsol).

Properties
The total energy is -8.166 eV per atom. As for the space group: P4/mmm, No. 123. The raw formation energy is -1.3 eV per formula unit. The total magnetization comes out at 7.19 μB/f.u. As for the crystal system: tetragonal.

Lattice parameters (Å, degrees): 3.670 3.670 7.125 90.00 90.00 90.00
Site moments in Bohr magnetons follow the coordinates.
Positions (direct):
Fe 0.500 0.000 0.000  -0.02
Fe 0.000 0.000 0.261  1.60
Ge 0.500 0.500 0.256  -0.09
Fe 0.500 0.000 0.500  2.15
Fe 0.000 0.500 0.000  -0.02
Fe 0.000 0.000 0.739  1.60
N 0.000 0.000 0.000  -0.05
Ge 0.500 0.500 0.744  -0.09
Fe 0.000 0.500 0.500  2.15

Entry 12:
Entry from Alexandria: an optimized crystal structure of NaFe2GeN (PBEsol).

Properties
The total energy is -4.478 eV per atom. As for the space group: P4/mmm, No. 123. The raw formation energy is 10.4 eV per formula unit. The total magnetization comes out at 6.11 μB/f.u. As for the crystal system: tetragonal.

Lattice parameters (Å, degrees): 3.884 4.469 4.469 90.00 90.00 90.00
Site moments in Bohr magnetons follow the coordinates.
Positions (direct):
Fe 0.000 0.500 0.000  2.96
Na 0.000 0.000 0.000  0.00
Ge 0.500 0.500 0.500  -0.09
Fe 0.000 0.000 0.500  2.96
N 0.500 0.000 0.000  0.23

Entry 13:
Entry from Alexandria: an optimized crystal structure of NaFe2Ge2 (PBEsol).

Properties
The total energy is -5.866 eV per atom. As for the space group: I4/mmm, No. 139. The total magnetization comes out at 3.09 μB/f.u. Its formation enthalpy at 0 K is -0.1 eV per formula unit. As for the crystal system: tetragonal.

Lattice parameters (Å, degrees): 3.731 3.731 6.089 107.84 107.84 90.00
Site moments in Bohr magnetons follow the coordinates.
Positions (direct):
Ge 0.617 0.617 0.235  -0.10
Ge 0.383 0.383 0.765  -0.10
Fe 0.250 0.750 0.500  1.69
Na 0.000 0.000 0.000  -0.01
Fe 0.750 0.250 0.500  1.69

Entry 14:
Entry from Alexandria: an optimized crystal structure of NaFe3Ge (PBEsol).

Properties
The total energy is -4.713 eV per atom. As for the space group: Pm-3m, No. 221. The total magnetization comes out at 8.46 μB/f.u. Its formation enthalpy at 0 K is 9.7 eV per formula unit. As for the crystal system: cubic.

Lattice parameters (Å, degrees): 4.319 4.319 4.319 90.00 90.00 90.00
Site moments in Bohr magnetons follow the coordinates.
Positions (direct):
Na 0.000 0.000 0.000  -0.02
Fe 0.500 0.000 0.000  2.84
Fe 0.000 0.500 0.000  2.84
Ge 0.500 0.500 0.500  -0.02
Fe 0.000 0.000 0.500  2.84

Entry 15:
Entry from Alexandria: an optimized crystal structure of NbFe6Ge6 (PBEsol).

Properties
The total energy is -7.485 eV per atom. As for the space group: P6/mmm, No. 191. The total magnetization comes out at 7.87 μB/f.u. Its formation enthalpy at 0 K is -3.1 eV per formula unit. As for the crystal system: hexagonal.

Lattice parameters (Å, degrees): 4.911 4.911 7.922 90.00 90.00 120.00
Site moments in Bohr magnetons follow the coordinates.
Positions (direct):
Ge 0.000 0.000 0.663  -0.05
Fe 0.000 0.500 0.250  1.34
Ge 0.000 0.000 0.337  -0.05
Fe 0.500 0.000 0.250  1.34
Ge 0.333 0.667 0.000  -0.04
Nb 0.000 0.000 0.000  0.14
Fe 0.000 0.500 0.750  1.34
Ge 0.333 0.667 0.500  -0.06
Ge 0.667 0.333 0.500  -0.06
Fe 0.500 0.500 0.750  1.34
Fe 0.500 0.500 0.250  1.34
Ge 0.667 0.333 0.000  -0.04
Fe 0.500 0.000 0.750  1.34

Entry 16:
Entry from Alexandria: an optimized crystal structure of FeGeO2 (PBEsol).

Properties
The total energy is -6.830 eV per atom. As for the space group: R-3m, No. 166. The raw formation energy is -2.9 eV per formula unit. The total magnetization comes out at 2.74 μB/f.u. As for the crystal system: trigonal.

Lattice parameters (Å, degrees): 3.081 3.081 6.198 75.61 75.61 60.00
Site moments in Bohr magnetons follow the coordinates.
Positions (direct):
O 0.897 0.897 0.310  -0.02
O 0.103 0.103 0.690  -0.02
Ge 0.500 0.500 0.500  -0.08
Fe 0.000 0.000 0.000  2.89

Entry 17:
Entry from Alexandria: an optimized crystal structure of FeGeP2O (PBEsol).

Properties
The total energy is -5.573 eV per atom. As for the space group: P4/mmm, No. 123. The raw formation energy is 2.9 eV per formula unit. The total magnetization comes out at 3.18 μB/f.u. As for the crystal system: tetragonal.

Lattice parameters (Å, degrees): 3.477 4.765 4.765 90.00 90.00 90.00
Site moments in Bohr magnetons follow the coordinates.
Positions (direct):
Fe 0.500 0.500 0.500  3.22
P 0.000 0.000 0.500  -0.06
O 0.500 0.000 0.000  0.02
Ge 0.000 0.000 0.000  0.00
P 0.000 0.500 0.000  -0.06

Entry 18:
Entry from Alexandria: an optimized crystal structure of ZnFeGe2O6 (PBEsol).

Properties
The total energy is -6.646 eV per atom. As for the space group: C2/c, No. 15. The raw formation energy is -14.5 eV per formula unit. The total magnetization comes out at 4.06 μB/f.u. As for the crystal system: monoclinic.

Lattice parameters (Å, degrees): 5.116 6.631 6.631 84.73 82.57 82.57
Site moments in Bohr magnetons follow the coordinates.
Positions (direct):
O 0.614 0.637 0.135  0.05
O 0.136 0.786 0.973  0.09
O 0.364 0.027 0.214  0.09
O 0.906 0.569 0.705  0.01
O 0.114 0.135 0.637  0.05
O 0.864 0.214 0.027  0.09
Ge 0.718 0.796 0.598  0.02
O 0.636 0.973 0.786  0.09
O 0.406 0.705 0.569  0.01
O 0.094 0.431 0.295  0.01
Fe 0.750 0.922 0.078  3.59
Zn 0.250 0.725 0.275  0.01
O 0.594 0.295 0.431  0.01
Zn 0.750 0.275 0.725  0.01
O 0.886 0.865 0.363  0.05
Fe 0.250 0.078 0.922  3.59
Ge 0.782 0.402 0.204  0.02
Ge 0.282 0.204 0.402  0.02
Ge 0.218 0.598 0.796  0.02
O 0.386 0.363 0.865  0.05

Entry 19:
Entry from Alexandria: an optimized crystal structure of FeGe3Os (PBEsol).

Properties
The total energy is -6.240 eV per atom. As for the space group: Pm-3m, No. 221. The total magnetization comes out at 2.78 μB/f.u. Its formation enthalpy at 0 K is 4.8 eV per formula unit. As for the crystal system: cubic.

Lattice parameters (Å, degrees): 4.728 4.728 4.728 90.00 90.00 90.00
Site moments in Bohr magnetons follow the coordinates.
Positions (direct):
Fe 0.500 0.500 0.500  3.10
Ge 0.000 0.000 0.500  -0.04
Os 0.000 0.000 0.000  -0.13
Ge 0.000 0.500 0.000  -0.04
Ge 0.500 0.000 0.000  -0.04

Entry 20:
Entry from Alexandria: an optimized crystal structure of Fe3GeOs (PBEsol).

Properties
The total energy is -7.382 eV per atom. As for the space group: Pm-3m, No. 221. The total magnetization comes out at 7.09 μB/f.u. Its formation enthalpy at 0 K is 7.1 eV per formula unit. As for the crystal system: cubic.

Lattice parameters (Å, degrees): 4.181 4.181 4.181 90.00 90.00 90.00
Site moments in Bohr magnetons follow the coordinates.
Positions (direct):
Os 0.500 0.500 0.500  0.60
Fe 0.500 0.000 0.000  2.22
Fe 0.000 0.500 0.000  2.22
Ge 0.000 0.000 0.000  -0.16
Fe 0.000 0.000 0.500  2.22